# 1
K2P2IrOs: optimized geometry, PBE.

Values from the calculation:
For the total DFT energy (no corrections), the calculation gives -36.006 eV per cell. Its space group is No. 115.

POSCAR file:
```
K2P2IrOs
1.0
4.025 0.000 0.000
0.000 4.025 0.000
0.000 0.000 9.996
K P Ir Os
2 2 1 1
Cartesian
0.000 2.013 2.003
2.013 0.000 7.992
0.000 2.013 6.231
2.013 0.000 3.765
2.013 2.013 4.998
0.000 0.000 4.998
```


# 2
KP5Ir3: optimized geometry, PBE.

Values from the calculation:
For the total DFT energy (no corrections), the calculation gives -54.938 eV per cell. Its space group is No. 191.

POSCAR file:
```
KP5Ir3
1.0
5.518 0.000 0.000
-2.759 4.779 0.000
0.000 0.000 7.642
K P Ir
1 5 3
Cartesian
0.000 0.000 0.000
0.000 0.000 3.821
0.000 3.186 2.024
0.000 3.186 5.618
2.759 1.593 2.024
2.759 1.593 5.618
-1.379 2.389 3.821
2.759 0.000 3.821
1.379 2.389 3.821
```